# 1
Computed, not measured: a geometry-optimized RbSrTa structure at the PBE level of DFT.

Cell lengths 5.999, 5.999, 7.845 Å; angles 90.00, 90.00, 120.00 degrees
Fractional positions:
Rb  0.333  0.667  0.250
Rb  0.667  0.333  0.750
Sr  0.000  0.000  0.000
Sr  0.000  0.000  0.500
Ta  0.333  0.667  0.750
Ta  0.667  0.333  0.250

Results
N(E_F): 5.80 states/eV per cell
calculated formation energy: 1.7245 eV/atom

***

# 2
Computed, not measured: a geometry-optimized MnFeAg3 structure at the PBE level of DFT.

Cell lengths 4.808, 4.808, 4.808 Å; angles 90.00, 90.00, 90.00 degrees
Fractional positions:
Mn  0.000  0.000  0.000
Fe  0.500  0.500  0.500
Ag  0.000  0.500  0.500
Ag  0.500  0.000  0.500
Ag  0.500  0.500  0.000

Results
N(E_F): 3.67 states/eV per cell
calculated formation energy: 1.1022 eV/atom

***

# 3
Computed, not measured: a geometry-optimized Pr2YEr6 structure at the PBE level of DFT.

Cell lengths 9.744, 9.744, 9.744 Å; angles 159.32, 116.04, 68.00 degrees
Fractional positions:
Pr  0.156  0.156  0.000
Pr  0.844  0.844  0.000
Y  0.500  0.000  0.500
Er  0.156  0.823  0.333
Er  0.191  0.500  0.691
Er  0.489  0.823  0.667
Er  0.511  0.177  0.333
Er  0.809  0.500  0.309
Er  0.844  0.177  0.667

Results
N(E_F): 14.66 states/eV per cell
calculated formation energy: 0.1119 eV/atom

***

Record-wise size of the total moment values, in μB per atom: 1.467 1.531 0.000
Record-wise ρ values, in Mg/m³: 4.8 6.5 7.8
Record-wise energy values, in eV/atom: -3.110 -4.135 -4.710